No. 1
Entry from OQMD: a geometry-optimized HoSnTeAuS2 structure (GGA-PBE).

Lattice parameters (Å, degrees): 7.1527 7.1527 11.2888 90.00 90.00 146.97
With the nearest neighbours (Å) after each atom.
Sites, in units of the cell vectors:
Ho1 0.0000 0.0000 0.0000  4 S 2.75
Ho2 0.0000 0.0000 0.5000  4 S 2.75
Sn1 0.2324 0.7676 0.7500  2 Au 3.06, 2 Te 3.07, 4 S 3.36
Sn2 0.7676 0.2324 0.2500  2 Au 3.06, 2 Te 3.07, 4 S 3.36
Te1 0.0998 0.9002 0.2500  2 Au 3.05, 2 Sn 3.07, 2 Ho 3.14
Te2 0.9002 0.0998 0.7500  2 Au 3.05, 2 Sn 3.07, 2 Ho 3.14
Au1 0.4345 0.5655 0.2500  2 S 2.42
Au2 0.5655 0.4345 0.7500  2 S 2.42
S1 0.3718 0.6282 0.0496  1 Au 2.42
S2 0.3718 0.6282 0.4504  1 Au 2.42
S3 0.6282 0.3718 0.5496  1 Au 2.42
S4 0.6282 0.3718 0.9504  1 Au 2.42

Computed properties:
E_tot, eV/atom: -4.68
Space-group type: Cmcm (63)
Size of the total moment, μB per formula unit: 0.00

---

No. 2
Entry from OQMD: a geometry-optimized DyZr structure (GGA-PBE).

Lattice parameters (Å, degrees): 4.2912 4.2912 4.2912 60.00 60.00 60.00
With the nearest neighbours (Å) after each atom.
Sites, in units of the cell vectors:
Dy1 0.0000 0.0000 0.0000  6 Zr 3.03
Zr1 0.5000 0.5000 0.5000  6 Dy 3.03

Computed properties:
E_tot, eV/atom: -5.59
Formation energy, kJ per mole of atoms: 94.56
Space-group type: Fm-3m (225)
Size of the total moment, μB per formula unit: 0.00

---

No. 3
Entry from OQMD: a geometry-optimized Dy2ErFeCo8 structure (GGA-PBE).

Lattice parameters (Å, degrees): 8.4881 8.4881 8.4881 34.23 34.23 34.23
With the nearest neighbours (Å) after each atom.
Sites, in units of the cell vectors:
Dy1 0.1392 0.1392 0.1392  9 Co 2.85-3.06, 3 Fe 2.96, 3 Dy 3.17
Dy2 0.8608 0.8608 0.8608  9 Co 2.85-3.06, 3 Fe 2.96, 3 Dy 3.17
Er1 0.0000 0.0000 0.0000  18 Co 2.88-3.17
Fe1 0.5000 0.5000 0.5000  6 Co 2.50
Co1 0.0799 0.5823 0.5823  6 Co 2.42-2.51, 1 Fe 2.50
Co2 0.3338 0.3338 0.3338  6 Co 2.42-2.43
Co3 0.4177 0.4177 0.9201  6 Co 2.42-2.51, 1 Fe 2.50
Co4 0.4177 0.9201 0.4177  6 Co 2.42-2.51, 1 Fe 2.50
Co5 0.5823 0.0799 0.5823  6 Co 2.42-2.51, 1 Fe 2.50
Co6 0.5823 0.5823 0.0799  6 Co 2.42-2.51, 1 Fe 2.50
Co7 0.6662 0.6662 0.6662  6 Co 2.42-2.43
Co8 0.9201 0.4177 0.4177  6 Co 2.42-2.51, 1 Fe 2.50

Computed properties:
E_tot, eV/atom: -6.76
Formation energy, kJ per mole of atoms: -17.19
Space-group type: R-3m (166)
Size of the total moment, μB per formula unit: 11.74

---

No. 4
Entry from OQMD: a geometry-optimized Co3Br structure (GGA-PBE).

Lattice parameters (Å, degrees): 6.0750 6.0750 3.8490 90.00 90.00 120.00
With the nearest neighbours (Å) after each atom.
Sites, in units of the cell vectors:
Co1 0.1327 0.2655 0.2500  6 Co 2.38-2.42
Co2 0.1327 0.8673 0.2500  6 Co 2.38-2.42
Co3 0.2655 0.1327 0.7500  6 Co 2.38-2.42
Co4 0.7345 0.8673 0.2500  6 Co 2.38-2.42
Co5 0.8673 0.1327 0.7500  6 Co 2.38-2.42
Co6 0.8673 0.7345 0.7500  6 Co 2.38-2.42
Br1 0.3333 0.6667 0.7500  12 Co 2.86-3.06
Br2 0.6667 0.3333 0.2500  12 Co 2.86-3.06

Computed properties:
E_tot, eV/atom: -5.09
Space-group type: P6_3/mmc (194)
Size of the total moment, μB per formula unit: 5.48
Energy relative to the lowest polymorph listed for this composition, meV/atom: 0

---

No. 5
Entry from OQMD: a geometry-optimized AgPdSO structure (GGA-PBE).

Lattice parameters (Å, degrees): 6.2836 6.2836 5.8736 90.00 90.00 148.33
With the nearest neighbours (Å) after each atom.
Sites, in units of the cell vectors:
Ag1 0.2416 0.7584 0.5000  2 O 2.27
Ag2 0.7584 0.2416 0.0000  2 O 2.27
Pd1 0.5003 0.4997 0.2404  2 O 2.05
Pd2 0.4997 0.5003 0.7404  2 O 2.05
S1 0.0988 0.9012 0.9906  4 Pd 2.55-2.56, 2 Ag 2.58
S2 0.9012 0.0988 0.4906  4 Pd 2.55-2.56, 2 Ag 2.58
O1 0.3816 0.6184 0.9906  2 Pd 2.05, 2 Ag 2.27
O2 0.6184 0.3816 0.4906  2 Pd 2.05, 2 Ag 2.27

Computed properties:
E_tot, eV/atom: -4.42
Space-group type: Cmc2_1 (36)
Energy relative to the lowest polymorph listed for this composition, meV/atom: 33

---

No. 6
Entry from OQMD: a geometry-optimized TaHg4P3 structure (GGA-PBE).

Lattice parameters (Å, degrees): 3.4073 7.2537 9.7327 71.76 87.79 77.20
With the nearest neighbours (Å) after each atom.
Sites, in units of the cell vectors:
Ta1 0.0000 0.0000 0.0000  6 P 2.49-2.73
Hg1 0.2966 0.6507 0.5755  6 Hg 3.41-3.69
Hg2 0.5327 0.1192 0.4352  1 P 2.78, 1 Hg 2.92
Hg3 0.7985 0.4139 0.9313  1 P 2.62, 1 Ta 2.79
Hg4 0.8864 0.1477 0.6943  1 Ta 2.84, 1 Hg 2.92
P1 0.4606 0.0431 0.1759  1 P 2.20
P2 0.6078 0.7317 0.1775  2 P 2.20-2.22
P3 0.6092 0.7792 0.9412  1 P 2.22

Computed properties:
E_tot, eV/atom: -3.69
Space-group type: P1 (1)
Size of the total moment, μB per formula unit: 0.00
Energy relative to the lowest polymorph listed for this composition, meV/atom: 26

---

No. 7
Entry from OQMD: a geometry-optimized ErCuHgTe3 structure (GGA-PBE).

Lattice parameters (Å, degrees): 7.7790 7.7790 11.0941 90.00 90.00 149.68
With the nearest neighbours (Å) after each atom.
Sites, in units of the cell vectors:
Er1 0.0000 0.0000 0.0000  6 Te 3.03-3.08
Er2 0.0000 0.0000 0.5000  6 Te 3.03-3.08
Cu1 0.4746 0.5254 0.7500  4 Te 2.60-2.66
Cu2 0.5254 0.4746 0.2500  4 Te 2.60-2.66
Hg1 0.2497 0.7503 0.2500  6 Te 3.16-3.28
Hg2 0.7503 0.2497 0.7500  6 Te 3.16-3.28
Te1 0.0892 0.9108 0.7500  2 Cu 2.66
Te2 0.3608 0.6392 0.5732  1 Cu 2.60
Te3 0.3608 0.6392 0.9268  1 Cu 2.60
Te4 0.6392 0.3608 0.0732  1 Cu 2.60
Te5 0.6392 0.3608 0.4268  1 Cu 2.60
Te6 0.9108 0.0892 0.2500  2 Cu 2.66

Computed properties:
E_tot, eV/atom: -3.53
Space-group type: Cmcm (63)
Size of the total moment, μB per formula unit: 0.02

---

No. 8
Entry from OQMD: a geometry-optimized Sb2WAu structure (GGA-PBE).

Lattice parameters (Å, degrees): 4.9165 4.9165 4.9165 60.00 60.00 60.00
With the nearest neighbours (Å) after each atom.
Sites, in units of the cell vectors:
Sb1 0.0000 0.0000 0.0000  4 Au 3.01, 4 Sb 3.01
Sb2 0.2500 0.2500 0.2500  4 W 3.01, 4 Sb 3.01
W1 0.5000 0.5000 0.5000  4 Au 3.01, 4 Sb 3.01
Au1 0.7500 0.7500 0.7500  4 W 3.01, 4 Sb 3.01

Computed properties:
E_tot, eV/atom: -5.25
Space-group type: F-43m (216)
Size of the total moment, μB per formula unit: 0.70

---

No. 9
Entry from OQMD: a geometry-optimized GdMgIr structure (GGA-PBE).

Lattice parameters (Å, degrees): 4.6882 4.6882 4.6882 60.00 60.00 60.00
With the nearest neighbours (Å) after each atom.
Sites, in units of the cell vectors:
Gd1 0.0000 0.0000 0.0000  4 Mg 2.87, 4 Ir 2.87
Mg1 0.2500 0.2500 0.2500  4 Gd 2.87
Ir1 0.7500 0.7500 0.7500  4 Gd 2.87

Computed properties:
E_tot, eV/atom: -4.80
Space-group type: F-43m (216)
Size of the total moment, μB per formula unit: 0.00

---

No. 10
Entry from OQMD: a geometry-optimized LaGaCu2Si structure (GGA-PBE).

Lattice parameters (Å, degrees): 5.8262 5.8262 5.8262 137.32 137.32 61.94
With the nearest neighbours (Å) after each atom.
Sites, in units of the cell vectors:
La1 0.0000 0.0000 0.0000  8 Cu 3.22-3.33, 4 Ga 3.25, 4 Si 3.26
Ga1 0.6248 0.6248 0.0000  4 Cu 2.50, 1 Si 2.52
Cu1 0.2572 0.7572 0.5000  2 Si 2.42, 2 Ga 2.50
Cu2 0.7572 0.2572 0.5000  2 Si 2.42, 2 Ga 2.50
Si1 0.3731 0.3731 0.0000  4 Cu 2.42, 1 Ga 2.52

Computed properties:
E_tot, eV/atom: -4.69
Space-group type: I4mm (107)
Size of the total moment, μB per formula unit: 0.00

---

No. 11
Entry from OQMD: a geometry-optimized PaInNi4 structure (GGA-PBE).

Lattice parameters (Å, degrees): 4.9925 4.9925 4.9925 60.00 60.00 60.00
With the nearest neighbours (Å) after each atom.
Sites, in units of the cell vectors:
Pa1 0.0000 0.0000 0.0000  12 Ni 2.93, 4 In 3.06
In1 0.2500 0.2500 0.2500  12 Ni 2.93, 4 Pa 3.06
Ni1 0.1275 0.6242 0.6242  6 Ni 2.48-2.51
Ni2 0.6242 0.1275 0.6242  6 Ni 2.48-2.51
Ni3 0.6242 0.6242 0.1275  6 Ni 2.48-2.51
Ni4 0.6242 0.6242 0.6242  6 Ni 2.48-2.51

Computed properties:
E_tot, eV/atom: -6.14
Space-group type: F-43m (216)
Size of the total moment, μB per formula unit: 0.00